Record 1
CsIr2S4 | PBE-GGA | optimized geometry

Summary:
Uncorrected formation energy ... -0.560 eV per atom
M_tot ... 0.00 μB/cell
Total energy ... -5.572 eV per atom

Cell lengths 3.6897, 6.2128, 8.1356 Å; angles 74.19, 89.93, 89.96 degrees
Space group P1 (No. 1)
One atom of each set of equivalent atoms:
Cs  0.0000  0.0000  0.0000 x1
Ir  0.9997  0.5126  0.4998 x1
Ir  0.4991  0.0205  0.4988 x1
S  0.4995  0.2998  0.6514 x1
S  0.4998  0.7299  0.3558 x1
S  0.9993  0.2375  0.3438 x1
S  0.9989  0.8017  0.6397 x1


Record 2
Cs3IrS | PBE-GGA | optimized geometry

Summary:
Uncorrected formation energy ... 0.310 eV per atom
M_tot ... 2.00 μB/cell
Total energy ... -2.799 eV per atom
Energy above the lowest structure with this stoichiometry ... 0.000 eV/atom

Cell lengths 6.6893, 6.6893, 6.6893 Å; angles 90.00, 90.00, 90.00 degrees
Space group Pm-3m (No. 221)
One atom of each set of equivalent atoms:
Cs  0.0000  0.0000  0.5000 x3
Ir  0.5000  0.5000  0.5000 x1
S  0.0000  0.0000  0.0000 x1


Record 3
Cs2IrS4 | PBE-GGA | optimized geometry

Summary:
Uncorrected formation energy ... -0.288 eV per atom
M_tot ... 7.40 μB/cell
Total energy ... -4.156 eV per atom

Cell lengths 5.0039, 5.0039, 17.0356 Å; angles 90.00, 90.00, 90.00 degrees
Space group I4/mmm (No. 139)
One atom of each set of equivalent atoms:
Cs  0.0000  0.0000  0.1453 x4
Ir  0.0000  0.0000  0.5000 x2
S  0.0000  0.0000  0.3654 x4
S  0.0000  0.5000  0.0000 x4


Record 4
Cs2Ir3S4 | PBE-GGA | optimized geometry

Summary:
Uncorrected formation energy ... -0.545 eV per atom
M_tot ... 0.00 μB/cell
Total energy ... -5.523 eV per atom

Cell lengths 6.0183, 10.3087, 15.6736 Å; angles 90.00, 90.00, 90.00 degrees
Space group Fmmm (No. 69)
One atom of each set of equivalent atoms:
Cs  0.0000  0.0000  0.1535 x8
Ir  0.0000  0.0000  0.5000 x4
Ir  0.2500  0.2500  0.0000 x8
S  0.0000  0.1672  0.3980 x16